(1)
Density functional theory data (GGA-PBE) for a relaxed ZnCdPd4 crystal.

## Properties
Energy: -0.3054 Ry/atom
Symmetry: Pnma (62)
M_tot: 0.00 μB/cell
E above lowest polymorph: 0.000 eV per atom

a = 2.8391 Å, b = 7.5563 Å, c = 17.7467 Å
α = 90.00°, β = 90.00°, γ = 90.00°
Positions (direct):
Pd  0.2500  0.1055  0.5559
Pd  0.7500  0.9547  0.9347
Pd  0.7500  0.8945  0.4441
Pd  0.2500  0.6055  0.9441
Pd  0.2500  0.6219  0.1664
Pd  0.2500  0.1219  0.3336
Pd  0.7500  0.3945  0.0559
Pd  0.7500  0.4423  0.3022
Pd  0.2500  0.0577  0.8022
Pd  0.2500  0.0453  0.0653
Pd  0.7500  0.3781  0.8336
Pd  0.7500  0.4547  0.5653
Pd  0.7500  0.9423  0.1978
Pd  0.7500  0.8781  0.6664
Pd  0.2500  0.5577  0.6978
Pd  0.2500  0.5453  0.4347
Cd  0.7500  0.2347  0.6876
Cd  0.7500  0.7347  0.8124
Cd  0.2500  0.2653  0.1876
Cd  0.2500  0.7653  0.3124
Zn  0.7500  0.2507  0.4439
Zn  0.2500  0.2493  0.9439
Zn  0.7500  0.7507  0.0561
Zn  0.2500  0.7493  0.5561



(2)
Density functional theory data (GGA-PBE) for a relaxed ZnCd3Pd4 crystal.

## Properties
Energy: -0.2603 Ry/atom
Symmetry: P4/mmm (123)
M_tot: 0.00 μB/cell

a = 3.0217 Å, b = 3.0217 Å, c = 14.6345 Å
α = 90.00°, β = 90.00°, γ = 90.00°
Positions (direct):
Cd  0.5000  0.5000  0.2401
Cd  0.5000  0.5000  0.7599
Cd  0.5000  0.5000  0.5000
Pd  0.0000  0.0000  0.8930
Pd  0.0000  0.0000  0.1070
Pd  0.0000  0.0000  0.3700
Pd  0.0000  0.0000  0.6300
Zn  0.5000  0.5000  0.0000



(3)
Density functional theory data (GGA-PBE) for a relaxed ZnCdPd3 crystal.

## Properties
Energy: -0.2032 Ry/atom
Symmetry: Pm-3m (221)
M_tot: 0.00 μB/cell
E above lowest polymorph: 1.019 eV per atom

a = 4.9571 Å, b = 4.9571 Å, c = 4.9571 Å
α = 90.00°, β = 90.00°, γ = 90.00°
Positions (direct):
Pd  0.0000  0.0000  0.5000
Pd  0.5000  0.0000  0.0000
Pd  0.0000  0.5000  0.0000
Cd  0.0000  0.0000  0.0000
Zn  0.5000  0.5000  0.5000



(4)
Density functional theory data (GGA-PBE) for a relaxed ZnCdPd5 crystal.

## Properties
Energy: -0.3116 Ry/atom
Symmetry: C2/c (15)
M_tot: 0.00 μB/cell
E above lowest polymorph: 0.000 eV per atom

a = 7.0065 Å, b = 7.0065 Å, c = 12.1697 Å
α = 39.03°, β = 39.03°, γ = 59.68°
Positions (direct):
Pd  0.9359  0.0641  0.2500
Pd  0.2117  0.5331  0.0671
Pd  0.5036  0.0350  0.0963
Pd  0.9650  0.4964  0.4037
Pd  0.4964  0.9650  0.9037
Pd  0.5331  0.2117  0.5671
Pd  0.0350  0.5036  0.5963
Pd  0.7883  0.4669  0.9329
Pd  0.0641  0.9359  0.7500
Pd  0.4669  0.7883  0.4329
Zn  0.0000  0.0000  0.5000
Zn  0.0000  0.0000  0.0000
Cd  0.4567  0.5433  0.7500
Cd  0.5433  0.4567  0.2500